1.
Computed, not measured: an optimized crystal structure of CsV2CuO6 at the PBE+U level of DFT. Values from VASP.

Computed properties:
Raw total energy, eV/atom: -6.66
Space group: No. 15

Geometry as Quantum ESPRESSO input:
```
&SYSTEM
  ibrav = 0, nat = 20, ntyp = 4
/
ATOMIC_SPECIES
Cs 132.91 Cs.upf
V 50.94 V.upf
Cu 63.55 Cu.upf
O 16.00 O.upf
CELL_PARAMETERS angstrom
5.289 -6.266 0.000
5.289 6.266 0.000
-2.148 0.000 5.673
ATOMIC_POSITIONS crystal
Cs 0.121 0.879 0.750
Cs 0.879 0.121 0.250
V 0.227 0.384 0.875
V 0.384 0.227 0.375
V 0.616 0.773 0.625
V 0.773 0.616 0.125
Cu 0.237 0.763 0.250
Cu 0.763 0.237 0.750
O 0.017 0.275 0.781
O 0.240 0.598 0.965
O 0.275 0.017 0.281
O 0.311 0.333 0.619
O 0.333 0.311 0.119
O 0.402 0.760 0.535
O 0.598 0.240 0.465
O 0.667 0.689 0.881
O 0.689 0.667 0.381
O 0.725 0.983 0.719
O 0.760 0.402 0.035
O 0.983 0.725 0.219
```

=====

2.
Computed, not measured: an optimized crystal structure of Cs2VCuO4 at the PBE+U level of DFT. Values from VASP.

Computed properties:
Raw total energy, eV/atom: -5.74
Space group: No. 70
Fermi-level density of states, states/eV per atom: 0.00

Geometry as Quantum ESPRESSO input:
```
&SYSTEM
  ibrav = 0, nat = 16, ntyp = 4
/
ATOMIC_SPECIES
Cs 132.91 Cs.upf
V 50.94 V.upf
Cu 63.55 Cu.upf
O 16.00 O.upf
CELL_PARAMETERS angstrom
0.000 6.339 10.819
2.481 0.000 10.819
2.481 6.339 0.000
ATOMIC_POSITIONS crystal
Cs 0.046 0.046 0.704
Cs 0.296 0.296 0.954
Cs 0.704 0.704 0.046
Cs 0.954 0.954 0.296
V 0.375 0.375 0.375
V 0.625 0.625 0.625
Cu 0.125 0.125 0.125
Cu 0.875 0.875 0.875
O 0.039 0.618 0.546
O 0.297 0.546 0.618
O 0.382 0.961 0.703
O 0.454 0.703 0.961
O 0.546 0.297 0.039
O 0.618 0.039 0.297
O 0.703 0.454 0.382
O 0.961 0.382 0.454
```

=====

3.
Computed, not measured: an optimized crystal structure of Cs2Cu2WO6 at the PBE+U level of DFT. Values from VASP.

Computed properties:
Raw total energy, eV/atom: -5.64
Space group: No. 166
Fermi-level density of states, states/eV per atom: 0.25

Geometry as Quantum ESPRESSO input:
```
&SYSTEM
  ibrav = 0, nat = 11, ntyp = 4
/
ATOMIC_SPECIES
Cs 132.91 Cs.upf
Cu 63.55 Cu.upf
W 183.84 W.upf
O 16.00 O.upf
CELL_PARAMETERS angstrom
2.974 1.717 6.330
-2.974 1.717 6.330
0.000 -3.434 6.330
ATOMIC_POSITIONS crystal
Cs 0.213 0.213 0.213
Cs 0.787 0.787 0.787
Cu 0.392 0.392 0.392
Cu 0.608 0.608 0.608
W 0.000 0.000 0.000
O 0.214 0.214 0.756
O 0.214 0.756 0.214
O 0.244 0.786 0.786
O 0.756 0.214 0.214
O 0.786 0.244 0.786
O 0.786 0.786 0.244
```